(1)
# PBE KCe4Ag3S12, relaxed
data_KCe4Ag3S12
_chemical_formula_sum 'K2 Ce8 Ag6 S24'
_space_group_name_H-M_alt 'I m -3'
_space_group_IT_number 204
_space_group_name_Hall '-I 2 2 3'
_cell_length_a 10.0386
_cell_length_b 10.0386
_cell_length_c 10.0386
_cell_angle_alpha 90.00
_cell_angle_beta 90.00
_cell_angle_gamma 90.00
loop_
_atom_site_label
_atom_site_type_symbol
_atom_site_fract_x
_atom_site_fract_y
_atom_site_fract_z
K1 K 0.0000 0.0000 0.0000
Ce1 Ce 0.2500 0.2500 0.2500
Ag1 Ag 0.0000 0.0000 0.5000
S1 S 0.0000 0.3162 0.1641
# Density = 4.29 g/cm3
# ΔE_f (raw) = -1.00 eV per atom

(2)
# PBE KCe2AgSe4, relaxed
data_KCe2AgSe4
_chemical_formula_sum 'K4 Ce8 Ag4 Se16'
_space_group_name_H-M_alt 'C m c m'
_space_group_IT_number 63
_space_group_name_Hall '-C 2c 2'
_cell_length_a 4.3269
_cell_length_b 14.3781
_cell_length_c 15.0007
_cell_angle_alpha 90.00
_cell_angle_beta 90.00
_cell_angle_gamma 90.00
loop_
_atom_site_label
_atom_site_type_symbol
_atom_site_fract_x
_atom_site_fract_y
_atom_site_fract_z
K1 K 0.0000 0.1183 0.2500
Ce1 Ce 0.0000 0.3694 0.0648
Ag1 Ag 0.0000 0.1583 0.7500
Se1 Se 0.0000 0.0000 0.0000
Se2 Se 0.0000 0.2658 0.6064
Se3 Se 0.0000 0.4466 0.2500
# Density = 5.29 g/cm3
# ΔE_f (raw) = -1.44 eV per atom

(3)
# PBE K3Ce2AgSe6, relaxed
data_K3Ce2AgSe6
_chemical_formula_sum 'K6 Ce4 Ag2 Se12'
_space_group_name_H-M_alt 'C 1 2/m 1'
_space_group_IT_number 12
_cell_length_a 7.3624
_cell_length_b 12.8342
_cell_length_c 8.0084
_cell_angle_alpha 90.00
_cell_angle_beta 107.53
_cell_angle_gamma 90.00
loop_
_space_group_symop_operation_xyz
'x,y,z'
'-x,-y,-z'
'-x,y,-z'
'x,-y,z'
'x+1/2,y+1/2,z'
'-x+1/2,-y+1/2,-z'
'-x+1/2,y+1/2,-z'
'x+1/2,-y+1/2,z'
loop_
_atom_site_label
_atom_site_type_symbol
_atom_site_fract_x
_atom_site_fract_y
_atom_site_fract_z
K1 K 0.0000 0.0000 0.0000
K2 K 0.0000 0.3402 0.0000
Ce1 Ce 0.0000 0.1673 0.5000
Ag1 Ag 0.0000 0.5000 0.5000
Se1 Se 0.2249 0.0000 0.7020
Se2 Se 0.2433 0.3254 0.7080
# Density = 4.51 g/cm3
# ΔE_f (raw) = -1.34 eV per atom

(4)
# PBE KCe2AgSe5, relaxed
data_KCe2AgSe5
_chemical_formula_sum 'K4 Ce8 Ag4 Se20'
_space_group_name_H-M_alt 'I 4/m c m'
_space_group_IT_number 140
_space_group_name_Hall '-I 4 2c'
_cell_length_a 8.0658
_cell_length_b 8.0658
_cell_length_c 15.3517
_cell_angle_alpha 90.00
_cell_angle_beta 90.00
_cell_angle_gamma 90.00
loop_
_atom_site_label
_atom_site_type_symbol
_atom_site_fract_x
_atom_site_fract_y
_atom_site_fract_z
K1 K 0.0000 0.0000 0.2500
Ce1 Ce 0.1617 0.3383 0.0000
Ag1 Ag 0.0000 0.5000 0.2500
Se1 Se 0.0000 0.0000 0.0000
Se2 Se 0.1476 0.3524 0.3813
# Density = 5.47 g/cm3
# ΔE_f (raw) = -1.30 eV per atom

(5)
# PBE K2Ce2AgSe6, relaxed
data_K2Ce2AgSe6
_chemical_formula_sum 'K4 Ce4 Ag2 Se12'
_space_group_name_H-M_alt 'C 1 2/m 1'
_space_group_IT_number 12
_cell_length_a 7.1338
_cell_length_b 12.7194
_cell_length_c 8.1888
_cell_angle_alpha 90.00
_cell_angle_beta 105.63
_cell_angle_gamma 90.00
loop_
_space_group_symop_operation_xyz
'x,y,z'
'-x,-y,-z'
'-x,y,-z'
'x,-y,z'
'x+1/2,y+1/2,z'
'-x+1/2,-y+1/2,-z'
'-x+1/2,y+1/2,-z'
'x+1/2,-y+1/2,z'
loop_
_atom_site_label
_atom_site_type_symbol
_atom_site_fract_x
_atom_site_fract_y
_atom_site_fract_z
K1 K 0.0000 0.1599 0.0000
Ce1 Ce 0.0000 0.3332 0.5000
Ag1 Ag 0.0000 0.0000 0.5000
Se1 Se 0.2398 0.1748 0.7055
Se2 Se 0.2474 0.5000 0.6881
# Density = 4.36 g/cm3
# ΔE_f (raw) = -1.22 eV per atom

(6)
# PBE KCeAgTe4, relaxed
data_KCeAgTe4
_chemical_formula_sum 'K2 Ce2 Ag2 Te8'
_space_group_name_H-M_alt 'P m n 21'
_space_group_IT_number 31
_cell_length_a 4.4893
_cell_length_b 21.9913
_cell_length_c 4.4881
_cell_angle_alpha 90.00
_cell_angle_beta 90.00
_cell_angle_gamma 90.00
loop_
_space_group_symop_operation_xyz
'x,y,z'
'-x+1/2,-y,z+1/2'
'-x,y,z'
'x+1/2,-y,z+1/2'
loop_
_atom_site_label
_atom_site_type_symbol
_atom_site_fract_x
_atom_site_fract_y
_atom_site_fract_z
K1 K 0.0000 0.1513 0.0000
Ce1 Ce 0.0000 0.5949 0.9874
Ag1 Ag 0.0000 0.0001 0.5009
Te1 Te 0.0000 0.2948 0.4882
Te2 Te 0.0000 0.4459 0.9873
Te3 Te 0.0000 0.7053 0.4879
Te4 Te 0.0000 0.9175 0.0007
# Density = 5.98 g/cm3
# ΔE_f (raw) = -0.84 eV per atom